Material: NbOsO3
Method: DFT, PBE
State: relaxed

Properties
Size of the total moment: 3.34 μB/cell
Raw formation energy: -0.5222 eV per atom
Space-group type: Pm-3m
Raw total energy: -38.785 eV per formula unit
Theoretical density: 8.62 g cm⁻³

Cell lengths 3.9952, 3.9952, 3.9952 Å; angles 90.00, 90.00, 90.00 degrees
Last column: magnetic moment on the atom in μB.
Atoms (fractional coordinates):
O 0.0000 0.0000 0.5000  0.10
O 0.5000 0.0000 0.0000  0.10
Os 0.5000 0.5000 0.5000  2.96
O 0.0000 0.5000 0.0000  0.12
Nb 0.0000 0.0000 0.0000  -0.27